Record 1
Er7Tm4Pb | GGA-PBE | optimized geometry

Cell: 5.669 12.541 6.549 Å, 100.75 64.35 76.94°
Positions (direct):
1 Tm 0.688 0.236 0.387
2 Er 0.500 0.000 0.000
3 Er 0.331 0.530 0.807
4 Er 0.002 0.605 0.391
5 Er 0.998 0.395 0.609
6 Er 0.871 0.880 0.379
7 Er 0.669 0.470 0.193
8 Tm 0.645 0.712 0.998
9 Tm 0.312 0.764 0.613
10 Pb 0.000 0.000 0.000
11 Er 0.129 0.120 0.621
12 Tm 0.355 0.288 0.002

Values from the calculation:
Its space-group type is No. 12. The value obtained for the total energy is -4.31 eV per atom. The volume comes out at 386.9 Å³/f.u. The energy above the most stable polymorph in this dataset comes out at 0.182 eV/atom.


Record 2
Er6Tm5Pb | GGA-PBE | optimized geometry

Cell: 4.887 9.236 9.236 Å, 106.89 105.35 105.35°
Positions (direct):
1 Er 0.253 0.753 0.753
2 Tm 0.000 0.662 0.338
3 Er 0.747 0.247 0.247
4 Er 0.751 0.583 0.920
5 Tm 0.500 0.169 0.831
6 Er 0.249 0.417 0.080
7 Tm 0.000 0.338 0.662
8 Pb 0.000 0.000 0.000
9 Er 0.751 0.920 0.583
10 Tm 0.500 0.831 0.169
11 Er 0.249 0.080 0.417
12 Tm 0.500 0.500 0.500

Values from the calculation:
Its space-group type is No. 71. The value obtained for the total energy is -4.51 eV per atom. The volume comes out at 357.4 Å³/f.u.


Record 3
ErTm5Pb2 | GGA-PBE | optimized geometry

Cell: 4.808 6.790 13.585 Å, 90.00 90.00 90.00°
Each line ends with the local moment (μB).
Positions (direct):
1 Er 0.000 0.000 0.500  0.07
2 Tm 0.000 0.499 0.250  0.07
3 Tm 0.000 0.500 0.500  0.08
4 Tm 0.500 0.749 0.125  0.10
5 Pb 0.500 0.251 0.625  0.00
6 Pb 0.500 0.749 0.375  0.00
7 Pb 0.500 0.751 0.875  0.00
8 Er 0.000 0.500 0.000  0.07
9 Tm 0.500 0.249 0.375  0.10
10 Tm 0.000 0.000 0.000  0.08
11 Tm 0.000 0.501 0.750  0.07
12 Tm 0.000 0.001 0.750  0.07
13 Tm 0.500 0.251 0.875  0.10
14 Pb 0.500 0.249 0.125  0.00
15 Tm 0.000 0.999 0.250  0.07
16 Tm 0.500 0.751 0.625  0.10

Values from the calculation:
Its space-group type is No. 55. The value obtained for the total energy is -4.54 eV per atom. The volume comes out at 221.7 Å³/f.u.


Record 4
Er2TmPb9 | GGA-PBE | optimized geometry

Cell: 4.867 4.867 14.600 Å, 90.00 90.00 90.00°
Positions (direct):
1 Pb 0.000 0.500 0.834
2 Pb 0.000 0.500 0.166
3 Pb 0.500 0.500 0.333
4 Pb 0.500 0.000 0.500
5 Pb 0.500 0.000 0.834
6 Er 0.000 0.000 0.667
7 Pb 0.500 0.000 0.166
8 Pb 0.000 0.500 0.500
9 Er 0.000 0.000 0.333
10 Tm 0.000 0.000 0.000
11 Pb 0.500 0.500 0.000
12 Pb 0.500 0.500 0.667

Values from the calculation:
Its space-group type is No. 123. The value obtained for the total energy is -4.15 eV per atom. The volume comes out at 345.8 Å³/f.u.